[1]
DFT (GGA+U) results for an optimized crystal structure of K2Pa3VO12.

Output
Fermi-level density of states	11.1	states/eV/cell
ρ	4.94	Mg/m³
calculated volume	18.94	Å³/atom
crystal system	trigonal
energy	-8.071	eV per atom

a b c (Å): 7.7140 7.7140 7.7140
angles (deg): 62.24 62.24 62.24
Last column: magnetic moment on the atom in μB.
Positions (direct):
O (0.0553, 0.7179, 0.0553)  0.21
O (0.9330, 0.3258, 0.3258)  0.08
O (0.6742, 0.6742, 0.0670)  0.08
O (0.9447, 0.2821, 0.9447)  0.21
O (0.0553, 0.0553, 0.7179)  0.21
O (0.9447, 0.9447, 0.2821)  0.21
O (0.3258, 0.9330, 0.3258)  0.08
O (0.0670, 0.6742, 0.6742)  0.08
O (0.2821, 0.9447, 0.9447)  0.21
O (0.6742, 0.0670, 0.6742)  0.08
O (0.7179, 0.0553, 0.0553)  0.21
O (0.3258, 0.3258, 0.9330)  0.08
Pa (0.0000, 0.0000, 0.5000)  0.02
Pa (0.5000, 0.0000, 0.0000)  0.02
Pa (0.0000, 0.5000, 0.0000)  0.02
V (0.0000, 0.0000, 0.0000)  -0.15
K (0.3875, 0.3875, 0.3875)  0.00
K (0.6125, 0.6125, 0.6125)  0.00


[2]
DFT (GGA+U) results for an optimized crystal structure of K2PaV3O12.

Output
Fermi-level density of states	11.7	states/eV/cell
ρ	3.94	Mg/m³
calculated volume	15.30	Å³/atom
crystal system	trigonal
energy	-7.170	eV per atom

a b c (Å): 7.4691 7.4691 7.4691
angles (deg): 57.17 57.17 57.17
Positions (direct):
O (0.3021, 0.9306, 0.3021)
O (0.6979, 0.0694, 0.6979)
O (0.9306, 0.3021, 0.3021)
O (0.9252, 0.3487, 0.9252)
O (0.0694, 0.6979, 0.6979)
O (0.3021, 0.3021, 0.9306)
O (0.6979, 0.6979, 0.0694)
O (0.3487, 0.9252, 0.9252)
O (0.9252, 0.9252, 0.3487)
O (0.0748, 0.6513, 0.0748)
O (0.6513, 0.0748, 0.0748)
O (0.0748, 0.0748, 0.6513)
V (0.0000, 0.5000, 0.0000)
V (0.0000, 0.0000, 0.5000)
V (0.5000, 0.0000, 0.0000)
Pa (0.0000, 0.0000, 0.0000)
K (0.6073, 0.6073, 0.6073)
K (0.3927, 0.3927, 0.3927)